Record 1
The following is a DFT calculation (meta-GGA SCAN) of FeIrW2 at its PBEsol-relaxed geometry.

a = 2.7055 Å, b = 4.6784 Å, c = 4.6784 Å
α = 109.40°, β = 90.00°, γ = 90.00°
With the nearest neighbours (Å) after each atom.
Element x y z (fractional)
Fe1 0.5000 0.0000 0.0000  8 W 2.70, 2 Ir 2.70, 2 Fe 2.71
Ir1 0.5000 0.5000 0.5000  8 W 2.70, 2 Fe 2.70, 2 Ir 2.71
W1 0.0000 0.5000 0.0000  4 Ir 2.70, 4 Fe 2.70, 4 W 2.70-2.71
W2 0.0000 0.0000 0.5000  4 Fe 2.70, 4 Ir 2.70, 4 W 2.70-2.71

The value obtained for the energy of formation from the pure elements is -35 meV per atom. The spin magnetization comes out at 1.47 μB/cell. The space-group type is Cmmm, No. 65. The density of states at the Fermi level comes out at 2.45 states/eV/f.u. The value obtained for the total energy is -228.7 eV for the cell shown.

***

Record 2
The following is a DFT calculation (meta-GGA SCAN) of YBr2 at its PBEsol-relaxed geometry.

a = 3.4812 Å, b = 3.4812 Å, c = 14.2028 Å
α = 97.04°, β = 97.04°, γ = 90.00°
With the nearest neighbours (Å) after each atom.
Element x y z (fractional)
Br1 0.8097 0.3097 0.6194  4 Y 2.97
Br2 0.4403 0.4403 0.8806  4 Y 2.97
Br3 0.6903 0.1903 0.3806  4 Y 2.97
Br4 0.5597 0.5597 0.1194  4 Y 2.97
Y1 0.2500 0.7500 0.5000  8 Br 2.97
Y2 0.0000 0.0000 0.0000  8 Br 2.97

The value obtained for the formation energy without anion corrections is -1.748 eV per atom. The spin magnetization comes out at 0.00 μB/cell. The space-group type is I4_1/amd, No. 141. The density of states at the Fermi level comes out at 0.85 states/eV/f.u. The value obtained for the total energy is -144.0 eV for the cell shown.

***

Record 3
The following is a DFT calculation (meta-GGA SCAN) of IrRu3 at its PBEsol-relaxed geometry.

a = 3.7803 Å, b = 3.7803 Å, c = 3.7803 Å
α = 90.00°, β = 90.00°, γ = 90.00°
With the nearest neighbours (Å) after each atom.
Element x y z (fractional)
Ru1 0.0000 0.5000 0.5000  8 Ru 2.67, 4 Ir 2.67
Ru2 0.5000 0.0000 0.5000  8 Ru 2.67, 4 Ir 2.67
Ru3 0.5000 0.5000 0.0000  8 Ru 2.67, 4 Ir 2.67
Ir1 0.0000 0.0000 0.0000  12 Ru 2.67

The value obtained for the energy of formation from the pure elements is 10 meV per atom. The spin magnetization comes out at 0.00 μB/cell. The space-group type is Pm-3m, No. 221. The density of states at the Fermi level comes out at 4.31 states/eV/f.u. The value obtained for the total energy is -175.5 eV for the cell shown.

***

Record 4
The following is a DFT calculation (meta-GGA SCAN) of SiTeHN2 at its PBEsol-relaxed geometry.

a = 3.3669 Å, b = 3.3669 Å, c = 6.1889 Å
α = 90.00°, β = 90.00°, γ = 90.00°
With the nearest neighbours (Å) after each atom.
Element x y z (fractional)
H1 0.5000 0.5000 0.5000  4 Te 2.38
Si1 0.0000 0.0000 0.0000  4 N 1.68
Te1 0.0000 0.0000 0.5000  4 H 2.38
N1 0.0000 0.5000 0.0000  2 Si 1.68
N2 0.5000 0.0000 0.0000  2 Si 1.68

The spin magnetization comes out at 0.26 μB/cell. The space-group type is P4/mmm, No. 123. The density of states at the Fermi level comes out at 2.24 states/eV/f.u. The value obtained for the total energy is -65.8 eV for the cell shown.

***

Record 5
The following is a DFT calculation (meta-GGA SCAN) of FeCu2Pt at its PBEsol-relaxed geometry.

a = 2.6640 Å, b = 4.4565 Å, c = 4.4706 Å
α = 100.52°, β = 107.28°, γ = 90.07°
With the nearest neighbours (Å) after each atom.
Element x y z (fractional)
Cu1 0.0017 0.0160 0.0035  5 Cu 2.54-2.66, 4 Fe 2.55-2.64, 3 Pt 2.63-2.65
Cu2 0.7497 0.2408 0.4993  5 Cu 2.54-2.66, 4 Pt 2.59-2.60, 3 Fe 2.59-2.63
Pt1 0.2496 0.7390 0.4993  3 Fe 2.55-2.57, 7 Cu 2.59-2.65, 2 Pt 2.66
Fe1 0.4991 0.5042 0.9979  3 Pt 2.55-2.57, 7 Cu 2.55-2.64, 2 Fe 2.66

The value obtained for the energy of formation from the pure elements is -125 meV per atom. The spin magnetization comes out at 3.34 μB/cell. The space-group type is Cm, No. 8. The density of states at the Fermi level comes out at 2.23 states/eV/f.u. The value obtained for the total energy is -119.2 eV for the cell shown.

***

Record 6
The following is a DFT calculation (meta-GGA SCAN) of Zr2TlCd at its PBEsol-relaxed geometry.

a = 3.1340 Å, b = 5.3176 Å, c = 5.3176 Å
α = 108.10°, β = 90.00°, γ = 90.00°
With the nearest neighbours (Å) after each atom.
Element x y z (fractional)
Tl1 0.5000 0.5000 0.5000  8 Zr 3.09, 2 Cd 3.12, 2 Tl 3.13
Zr1 0.0000 0.5000 0.0000  4 Tl 3.09, 4 Cd 3.09, 4 Zr 3.12-3.13
Zr2 0.0000 0.0000 0.5000  4 Cd 3.09, 4 Tl 3.09, 4 Zr 3.12-3.13
Cd1 0.5000 0.0000 0.0000  8 Zr 3.09, 2 Tl 3.12, 2 Cd 3.13

The value obtained for the energy of formation from the pure elements is -257 meV per atom. The spin magnetization comes out at 0.01 μB/cell. The space-group type is Cmmm, No. 65. The density of states at the Fermi level comes out at 2.85 states/eV/f.u. The value obtained for the total energy is -165.2 eV for the cell shown.

***

Record 7
The following is a DFT calculation (meta-GGA SCAN) of K3W at its PBEsol-relaxed geometry.

a = 3.5904 Å, b = 5.6036 Å, c = 8.2494 Å
α = 90.00°, β = 90.00°, γ = 90.00°
With the nearest neighbours (Å) after each atom.
Element x y z (fractional)
K1 0.5000 0.5000 0.7950  3 K 3.38-3.59, 4 W 3.73
K2 0.0000 0.0000 0.5000  2 K 3.59
K3 0.5000 0.5000 0.2050  3 K 3.38-3.59, 4 W 3.73
W1 0.0000 0.0000 0.0000  2 W 3.59, 8 K 3.73

The value obtained for the energy of formation from the pure elements is 1579 meV per atom. The spin magnetization comes out at 4.75 μB/cell. The space-group type is Pmmm, No. 47. The density of states at the Fermi level comes out at 2.28 states/eV/f.u. The value obtained for the total energy is -88.4 eV for the cell shown.

***

Record 8
The following is a DFT calculation (meta-GGA SCAN) of SrBi2Pb2 at its PBEsol-relaxed geometry.

a = 4.6097 Å, b = 4.6097 Å, c = 8.6841 Å
α = 105.39°, β = 105.39°, γ = 90.00°
With the nearest neighbours (Å) after each atom.
Element x y z (fractional)
Pb1 0.2500 0.7500 0.5000  4 Pb 3.26, 4 Bi 3.39
Pb2 0.7500 0.2500 0.5000  4 Pb 3.26, 4 Bi 3.39
Sr1 0.0000 0.0000 0.0000  8 Bi 3.61
Bi1 0.4043 0.4043 0.8085  1 Bi 3.08, 4 Pb 3.39
Bi2 0.5957 0.5957 0.1915  1 Bi 3.08, 4 Pb 3.39

The value obtained for the energy of formation from the pure elements is -324 meV per atom. The spin magnetization comes out at 0.00 μB/cell. The space-group type is I4/mmm, No. 139. The density of states at the Fermi level comes out at 2.46 states/eV/f.u. The value obtained for the total energy is -332.6 eV for the cell shown.